# Th2Fe3CoB12

A geometry-optimized Th2Fe3CoB12 structure (GGA-PBE, Alexandria via LeMat-Bulk).

Cell and atoms, written as extended XYZ:
```
18
Lattice="-5.190 -3.599 -4.897 -3.373 -7.165 -1.073 -7.222 -3.413 0.248" Properties=species:S:1:pos:R:3 pbc="T T T"
B -5.334 -2.896 -0.166
B -12.824 -8.969 -4.741
B -12.616 -10.374 -3.681
Fe -1.686 -3.583 -0.537
B -4.081 -3.010 -3.339
B -11.704 -11.168 -2.383
Co 0.000 0.000 0.000
B -4.368 -2.635 -1.630
B -10.450 -11.283 -5.556
Fe -3.611 -1.707 0.124
Th -10.059 -9.035 -3.647
Th -5.725 -5.143 -2.076
Fe -2.595 -1.800 -2.449
B -3.169 -3.804 -2.042
B -11.416 -11.543 -4.092
B -2.960 -5.210 -0.981
B -3.802 -3.746 -0.439
B -11.982 -10.432 -5.284
```

Summary:
Density (g/cm³): 7.008
Energy (Ry/atom): -0.5223